Entry 1:
The following is a PBE calculation of Ag3TeI8 after structural relaxation, from Alexandria via LeMat-Bulk.

extended XYZ file:
```
12
Lattice="8.681 0.000 0.000 -4.341 6.180 -4.283 0.000 0.007 8.927" Properties=species:S:1:pos:R:3 pbc="T T T"
Ag 4.341 0.000 0.000
Ag 2.170 3.090 -2.141
Ag -2.170 3.090 -2.141
Te 0.000 0.000 0.000
I 0.000 3.311 4.894
I 4.341 2.875 -0.250
I -2.278 6.139 2.489
I 2.278 6.139 2.489
I 4.341 3.206 4.526
I 0.000 2.981 0.119
I 2.062 0.048 2.155
I 6.619 0.048 2.155
```

Results
Final energy   -2.12 eV/atom
Space-group type   No. 12
Formation energy (no corrections)   -11 kJ per mole of atoms

Entry 2:
The following is a PBE calculation of Ag2TeI8 after structural relaxation, from Alexandria via LeMat-Bulk.

extended XYZ file:
```
11
Lattice="7.385 0.607 0.519 1.799 8.724 -0.666 1.799 0.695 8.722" Properties=species:S:1:pos:R:3 pbc="T T T"
Ag 3.154 1.801 1.540
Ag 7.829 8.224 7.034
Te 0.000 0.000 0.000
I 7.489 1.793 6.858
I 3.494 2.972 7.867
I 5.764 2.555 2.185
I 5.218 7.470 6.390
I 7.489 7.053 0.708
I 3.494 8.233 1.716
I 2.877 4.025 3.443
I 8.106 6.000 5.132
```

Results
Final energy   -2.03 eV/atom
Space-group type   No. 12
Formation energy (no corrections)   -10 kJ per mole of atoms

Entry 3:
The following is a PBE calculation of AgTe4I after structural relaxation, from Alexandria via LeMat-Bulk.

extended XYZ file:
```
6
Lattice="-1.784 3.487 1.062 -0.504 -7.301 7.025 7.282 0.165 0.169" Properties=species:S:1:pos:R:3 pbc="T T T"
Ag 0.000 0.000 0.000
Te 0.258 -3.726 4.821
Te 4.736 0.077 3.436
Te 5.400 -5.090 5.875
Te -0.406 1.441 2.382
I 3.641 0.083 0.084
```

Results
Final energy   -2.81 eV/atom
Space-group type   No. 2
Formation energy (no corrections)   1 kJ per mole of atoms

Entry 4:
The following is a PBE calculation of Ag3TeI2 after structural relaxation, from Alexandria via LeMat-Bulk.

extended XYZ file:
```
12
Lattice="6.141 0.000 0.000 0.000 8.322 -0.001 -3.070 -2.084 6.496" Properties=species:S:1:pos:R:3 pbc="T T T"
Ag 3.063 2.081 0.000
Ag 3.078 6.242 -0.001
Ag 0.002 0.000 2.023
Ag 3.073 2.077 4.472
Ag -0.002 4.161 2.023
Ag 3.068 6.238 4.472
Te 0.004 6.242 -0.001
Te 6.137 2.081 0.000
I 3.069 4.158 2.242
I 3.072 -0.003 2.242
I -0.002 6.241 4.253
I 0.002 2.080 4.253
```

Results
Final energy   -2.53 eV/atom
Space-group type   No. 15
Formation energy (no corrections)   -6 kJ per mole of atoms